1.
# ZrFeW2

A geometry-optimized ZrFeW2 structure (PBE, the Alexandria database).

abc: 4.4592 4.4592 3.2617
angles: 90.00 90.00 90.00
Fractional coordinates of all 4 atoms:
Zr1 0.0000 0.0000 0.0000
Fe1 0.5000 0.5000 0.0000
W1 0.0000 0.5000 0.5000
W2 0.5000 0.0000 0.5000

Computed properties:
SG: P4/mmm, No. 123
Energy (eV for the cell shown): -41.53
E_form (meV/atom): 348
ΔE to the lowest computed polymorph (kJ per mole of atoms): 25.9

***

2.
# Zr3FeW

A geometry-optimized Zr3FeW structure (PBE, the Alexandria database).

abc: 5.0218 5.0218 5.0218
angles: 90.00 90.00 90.00
Fractional coordinates of all 5 atoms:
Zr1 0.0000 0.0000 0.5000
Zr2 0.0000 0.5000 0.0000
Zr3 0.5000 0.0000 0.0000
Fe1 0.5000 0.5000 0.5000
W1 0.0000 0.0000 0.0000

Computed properties:
SG: Pm-3m, No. 221
Energy (eV for the cell shown): -39.97
E_form (meV/atom): 1417
ΔE to the lowest computed polymorph (kJ per mole of atoms): 68.2

***

3.
# Zr3FeW

A geometry-optimized Zr3FeW structure (PBE, the Alexandria database).

abc: 4.7228 4.7228 4.7228
angles: 90.00 90.00 90.00
Fractional coordinates of all 5 atoms:
Zr1 0.0000 0.0000 0.5000
Zr2 0.0000 0.5000 0.0000
Zr3 0.5000 0.0000 0.0000
Fe1 0.0000 0.0000 0.0000
W1 0.5000 0.5000 0.5000

Computed properties:
SG: Pm-3m, No. 221
Energy (eV for the cell shown): -43.51
E_form (meV/atom): 710
ΔE to the lowest computed polymorph (kJ per mole of atoms): 0.0

***

4.
# ZrFeW2

A geometry-optimized ZrFeW2 structure (PBE, the Alexandria database).

abc: 4.4699 4.4699 4.4699
angles: 60.00 60.00 60.00
Fractional coordinates of all 4 atoms:
Zr1 0.0000 0.0000 0.0000
Fe1 0.5000 0.5000 0.5000
W1 0.2500 0.2500 0.2500
W2 0.7500 0.7500 0.7500

Computed properties:
SG: Fm-3m, No. 225
Energy (eV for the cell shown): -41.37
E_form (meV/atom): 387
ΔE to the lowest computed polymorph (kJ per mole of atoms): 29.7

***

5.
# ZrFeW

A geometry-optimized ZrFeW structure (PBE, the Alexandria database).

abc: 4.5006 4.5006 2.8103
angles: 90.00 90.00 120.00
Fractional coordinates of all 3 atoms:
Zr1 0.0000 0.0000 0.0000
Fe1 0.6667 0.3333 0.3468
W1 0.3333 0.6667 0.6065

Computed properties:
SG: P3m1, No. 156
Energy (eV for the cell shown): -29.04
E_form (meV/atom): 308

***

6.
# ZrFeW

A geometry-optimized ZrFeW structure (PBE, the Alexandria database).

abc: 5.7925 5.7925 5.7925
angles: 149.66 149.66 43.44
Fractional coordinates of all 3 atoms:
Zr1 0.0000 0.0000 0.0000
Fe1 0.6844 0.6844 0.0000
W1 0.3043 0.3043 0.0000

Computed properties:
SG: I4mm, No. 107
Energy (eV for the cell shown): -29.76
E_form (meV/atom): 67

***

7.
# ZrFeW2

A geometry-optimized ZrFeW2 structure (PBE, the Alexandria database).

abc: 4.5014 4.5014 4.5014
angles: 60.00 60.00 60.00
Fractional coordinates of all 4 atoms:
Zr1 0.0000 0.0000 0.0000
Fe1 0.7500 0.7500 0.7500
W1 0.2500 0.2500 0.2500
W2 0.5000 0.5000 0.5000

Computed properties:
SG: F-43m, No. 216
Energy (eV for the cell shown): -42.53
E_form (meV/atom): 96
ΔE to the lowest computed polymorph (kJ per mole of atoms): 1.5

***

8.
# ZrFeW2

A geometry-optimized ZrFeW2 structure (PBE, the Alexandria database).

abc: 2.7830 4.4007 5.4266
angles: 90.00 99.67 90.00
Fractional coordinates of all 4 atoms:
Zr1 0.0000 0.0000 0.0000
Fe1 0.7451 0.5000 0.2498
W1 0.2650 0.5000 0.7205
W2 0.5035 0.0000 0.4943

Computed properties:
SG: Pm, No. 6
Energy (eV for the cell shown): -42.09
E_form (meV/atom): 206
ΔE to the lowest computed polymorph (kJ per mole of atoms): 12.2